# Tb3Sm3In2 PBE-GGA optimized geometry
# Energy relative to the elements ... -2.153 eV/f.u.
data_Tb3Sm3In2
_chemical_formula_sum 'Tb3 Sm3 In2'
_cell_length_a 4.885
_cell_length_b 4.898
_cell_length_c 9.833
_cell_angle_alpha 90.00
_cell_angle_beta 90.00
_cell_angle_gamma 90.00
_space_group_name_H-M_alt 'P 1'
_space_group_IT_number 1
_space_group_name_Hall 'P 1'
loop_
_atom_site_label
_atom_site_type_symbol
_atom_site_fract_x
_atom_site_fract_y
_atom_site_fract_z
Tb1 Tb 0.500 0.500 0.751
Tb2 Tb 0.500 0.500 0.249
Tb3 Tb 0.500 0.000 0.000
Sm1 Sm 0.500 0.000 0.500
Sm2 Sm 0.000 0.500 0.000
Sm3 Sm 0.000 0.500 0.500
In1 In 0.000 0.000 0.752
In2 In 0.000 0.000 0.248

=====

# Tb6SmIn5 PBE-GGA optimized geometry
# Energy relative to the elements ... -4.655 eV/f.u.
data_Tb6SmIn5
_chemical_formula_sum 'Tb6 Sm1 In5'
_cell_length_a 5.006
_cell_length_b 8.815
_cell_length_c 9.109
_cell_angle_alpha 118.94
_cell_angle_beta 105.93
_cell_angle_gamma 90.00
_space_group_name_H-M_alt 'P 1'
_space_group_IT_number 1
_space_group_name_Hall 'P 1'
loop_
_atom_site_label
_atom_site_type_symbol
_atom_site_fract_x
_atom_site_fract_y
_atom_site_fract_z
Tb1 Tb 0.830 0.567 0.660
Tb2 Tb 0.830 0.093 0.660
Tb3 Tb 0.500 0.728 0.000
Tb4 Tb 0.500 0.272 0.000
Tb5 Tb 0.170 0.907 0.340
Tb6 Tb 0.170 0.433 0.340
Sm1 Sm 0.000 0.000 0.000
In1 In 0.653 0.153 0.306
In2 In 0.323 0.323 0.646
In3 In 0.000 0.500 0.000
In4 In 0.677 0.677 0.354
In5 In 0.347 0.847 0.694

=====

# TbSm6In3 PBE-GGA optimized geometry
# Energy relative to the elements ... -1.426 eV/f.u.
data_TbSm6In3
_chemical_formula_sum 'Tb2 Sm12 In6'
_cell_length_a 7.830
_cell_length_b 9.433
_cell_length_c 9.433
_cell_angle_alpha 111.81
_cell_angle_beta 90.00
_cell_angle_gamma 90.00
_space_group_name_H-M_alt 'P 1'
_space_group_IT_number 1
_space_group_name_Hall 'P 1'
loop_
_atom_site_label
_atom_site_type_symbol
_atom_site_fract_x
_atom_site_fract_y
_atom_site_fract_z
Tb1 Tb 0.083 0.204 0.796
Tb2 Tb 0.583 0.796 0.204
Sm1 Sm 0.103 0.772 0.706
Sm2 Sm 0.603 0.706 0.772
Sm3 Sm 0.291 0.547 0.919
Sm4 Sm 0.791 0.919 0.547
Sm5 Sm 0.292 0.954 0.046
Sm6 Sm 0.638 0.306 0.694
Sm7 Sm 0.138 0.694 0.306
Sm8 Sm 0.792 0.046 0.954
Sm9 Sm 0.291 0.081 0.453
Sm10 Sm 0.791 0.453 0.081
Sm11 Sm 0.103 0.294 0.228
Sm12 Sm 0.603 0.228 0.294
In1 In 0.431 0.993 0.720
In2 In 0.931 0.720 0.993
In3 In 0.324 0.452 0.548
In4 In 0.824 0.548 0.452
In5 In 0.931 0.007 0.280
In6 In 0.431 0.280 0.007

=====

# Tb3Sm4In PBE-GGA optimized geometry
# Energy relative to the elements ... -0.865 eV/f.u.
data_Tb3Sm4In
_chemical_formula_sum 'Tb6 Sm8 In2'
_cell_length_a 11.345
_cell_length_b 8.420
_cell_length_c 7.109
_cell_angle_alpha 90.00
_cell_angle_beta 90.00
_cell_angle_gamma 47.88
_space_group_name_H-M_alt 'P 1'
_space_group_IT_number 1
_space_group_name_Hall 'P 1'
loop_
_atom_site_label
_atom_site_type_symbol
_atom_site_fract_x
_atom_site_fract_y
_atom_site_fract_z
Tb1 Tb 0.777 0.849 0.000
Tb2 Tb 0.112 0.667 0.258
Tb3 Tb 0.526 0.338 0.253
Tb4 Tb 0.352 0.154 0.500
Tb5 Tb 0.526 0.338 0.747
Tb6 Tb 0.112 0.667 0.742
Sm1 Sm 0.255 0.858 0.000
Sm2 Sm 0.361 0.178 0.000
Sm3 Sm 0.018 0.332 0.241
Sm4 Sm 0.601 0.663 0.247
Sm5 Sm 0.767 0.827 0.500
Sm6 Sm 0.873 0.140 0.500
Sm7 Sm 0.601 0.663 0.753
Sm8 Sm 0.018 0.332 0.759
In1 In 0.858 0.164 0.000
In2 In 0.272 0.829 0.500

=====

# TbSm8In2 PBE-GGA optimized geometry
# Energy relative to the elements ... -0.888 eV/f.u.
data_TbSm8In2
_chemical_formula_sum 'Tb1 Sm8 In2'
_cell_length_a 6.206
_cell_length_b 10.031
_cell_length_c 10.031
_cell_angle_alpha 39.23
_cell_angle_beta 64.68
_cell_angle_gamma 64.68
_space_group_name_H-M_alt 'P 1'
_space_group_IT_number 1
_space_group_name_Hall 'P 1'
loop_
_atom_site_label
_atom_site_type_symbol
_atom_site_fract_x
_atom_site_fract_y
_atom_site_fract_z
Tb1 Tb 0.000 0.000 0.000
Sm1 Sm 0.234 0.087 0.568
Sm2 Sm 0.234 0.568 0.087
Sm3 Sm 0.766 0.913 0.432
Sm4 Sm 0.263 0.498 0.498
Sm5 Sm 0.766 0.432 0.913
Sm6 Sm 0.307 0.135 0.135
Sm7 Sm 0.693 0.865 0.865
Sm8 Sm 0.737 0.502 0.502
In1 In 0.754 0.321 0.321
In2 In 0.246 0.679 0.679

=====

# Tb2Sm7In PBE-GGA optimized geometry
# Energy relative to the elements ... 5.258 eV/f.u.
data_Tb2Sm7In
_chemical_formula_sum 'Tb2 Sm7 In1'
_cell_length_a 5.462
_cell_length_b 9.180
_cell_length_c 9.180
_cell_angle_alpha 122.95
_cell_angle_beta 90.00
_cell_angle_gamma 90.00
_space_group_name_H-M_alt 'P 1'
_space_group_IT_number 1
_space_group_name_Hall 'P 1'
loop_
_atom_site_label
_atom_site_type_symbol
_atom_site_fract_x
_atom_site_fract_y
_atom_site_fract_z
Tb1 Tb 0.500 0.708 0.292
Tb2 Tb 0.500 0.292 0.708
Sm1 Sm 0.000 0.789 0.211
Sm2 Sm 0.000 0.211 0.789
Sm3 Sm 0.500 0.070 0.283
Sm4 Sm 0.500 0.930 0.717
Sm5 Sm 0.500 0.283 0.070
Sm6 Sm 0.500 0.717 0.930
Sm7 Sm 0.500 0.500 0.500
In1 In 0.000 0.000 0.000